Entry 1:
This record from the Alexandria database describes an optimized crystal structure of Pm2SmY. The functional is GGA-PBE.

Unit cell a=5.7692 b=5.7692 c=5.7692 alpha=60.00 beta=60.00 gamma=60.00
Last column: nearest neighbours and their distance in Å.
Fractional positions:
1 Pm 0.2500 0.2500 0.2500  4 Y 3.53, 4 Sm 3.53
2 Pm 0.7500 0.7500 0.7500  4 Sm 3.53, 4 Y 3.53
3 Sm 0.0000 0.0000 0.0000  8 Pm 3.53
4 Y 0.5000 0.5000 0.5000  8 Pm 3.53

## Properties
The density of states at the Fermi level comes out at 9.53 states/eV/cell. Its total energy is -5.042 eV/atom. The calculation puts the polymorph energy (0 for the lowest one) at 0.119 eV per atom. The space group is Fm-3m, No. 225. The calculated formation energy comes out at 0.13 eV per atom. The crystal system is cubic.

---

Entry 2:
This record from the Alexandria database describes an optimized crystal structure of Pm5SmY12. The functional is GGA-PBE.

Unit cell a=10.7793 b=5.0893 c=10.7922 alpha=90.00 beta=90.12 gamma=90.00
Last column: nearest neighbours and their distance in Å.
Fractional positions:
1 Pm 0.0000 0.0000 0.0000  8 Y 3.60, 4 Pm 3.60
2 Pm 0.1667 0.5000 0.8332  8 Y 3.60, 4 Pm 3.60
3 Pm 0.3335 0.0000 0.6665  8 Y 3.59-3.60, 2 Sm 3.60, 2 Pm 3.60
4 Pm 0.6665 0.0000 0.3335  8 Y 3.59-3.60, 2 Sm 3.60, 2 Pm 3.60
5 Pm 0.8333 0.5000 0.1668  8 Y 3.60, 4 Pm 3.60
6 Sm 0.5000 0.5000 0.5000  8 Y 3.60, 4 Pm 3.60
7 Y 0.0005 0.0000 0.3338  8 Y 3.59-3.60, 4 Pm 3.60
8 Y 0.9995 0.0000 0.6662  8 Y 3.59-3.60, 4 Pm 3.60
9 Y 0.1664 0.5000 0.4996  8 Y 3.59-3.60, 1 Sm 3.60, 3 Pm 3.60
10 Y 0.1672 0.5000 0.1671  8 Y 3.58-3.60, 4 Pm 3.60
11 Y 0.3331 0.0000 0.3332  8 Y 3.59-3.60, 2 Pm 3.59-3.60, 2 Sm 3.60
12 Y 0.3339 0.0000 0.0004  8 Y 3.58-3.60, 4 Pm 3.60
13 Y 0.4996 0.5000 0.1665  8 Y 3.58-3.60, 3 Pm 3.60, 1 Sm 3.60
14 Y 0.5004 0.5000 0.8335  8 Y 3.58-3.60, 3 Pm 3.60, 1 Sm 3.60
15 Y 0.6661 0.0000 0.9996  8 Y 3.58-3.60, 4 Pm 3.60
16 Y 0.6669 0.0000 0.6669  8 Y 3.59-3.60, 2 Pm 3.59-3.60, 2 Sm 3.60
17 Y 0.8328 0.5000 0.8329  8 Y 3.58-3.60, 4 Pm 3.60
18 Y 0.8336 0.5000 0.5004  8 Y 3.59-3.60, 1 Sm 3.60, 3 Pm 3.60

## Properties
The density of states at the Fermi level comes out at 27.43 states/eV/cell. Its total energy is -5.871 eV/atom. The space group is P2/m, No. 10. The calculated formation energy comes out at 0.02 eV per atom. The crystal system is monoclinic.

---

Entry 3:
This record from the Alexandria database describes an optimized crystal structure of Pm3SmY7. The functional is GGA-PBE.

Unit cell a=7.1318 b=7.1318 c=8.7102 alpha=90.00 beta=90.00 gamma=120.00
Last column: nearest neighbours and their distance in Å.
Fractional positions:
1 Pm 0.0000 0.5000 0.0000  4 Pm 3.57, 5 Y 3.57-3.58, 1 Sm 3.58
2 Pm 0.5000 0.0000 0.0000  4 Pm 3.57, 5 Y 3.57-3.58, 1 Sm 3.58
3 Pm 0.5000 0.5000 0.0000  4 Pm 3.57, 5 Y 3.57-3.58, 1 Sm 3.58
4 Sm 0.3333 0.6667 0.3365  9 Y 3.52-3.57, 3 Pm 3.58
5 Y 0.1675 0.3349 0.6647  1 Sm 3.52, 8 Y 3.53-3.58, 2 Pm 3.57
6 Y 0.1675 0.8325 0.6647  1 Sm 3.52, 8 Y 3.53-3.58, 2 Pm 3.57
7 Y 0.3349 0.1674 0.3361  7 Y 3.51-3.58, 2 Sm 3.57, 2 Pm 3.58
8 Y 0.6651 0.8325 0.6647  1 Sm 3.52, 8 Y 3.53-3.58, 2 Pm 3.57
9 Y 0.6667 0.3333 0.6638  9 Y 3.51-3.57, 3 Pm 3.58
10 Y 0.8326 0.1674 0.3361  7 Y 3.51-3.58, 2 Sm 3.57, 2 Pm 3.58
11 Y 0.8326 0.6651 0.3361  7 Y 3.51-3.58, 2 Sm 3.57, 2 Pm 3.58

## Properties
The density of states at the Fermi level comes out at 17.85 states/eV/cell. Its total energy is -5.655 eV/atom. The calculation puts the polymorph energy (0 for the lowest one) at 0.043 eV per atom. The space group is P3m1, No. 156. The calculated formation energy comes out at 0.18 eV per atom. The crystal system is trigonal.

---

Entry 4:
This record from the Alexandria database describes an optimized crystal structure of Pm8SmY3. The functional is GGA-PBE.

Unit cell a=6.6983 b=8.5822 c=8.5960 alpha=102.74 beta=109.54 gamma=109.47
Last column: nearest neighbours and their distance in Å.
Fractional positions:
1 Pm 0.0000 0.0000 0.0000  4 Pm 3.28-3.58, 2 Y 3.32-3.67
2 Pm 0.9999 0.2591 0.7414  8 Pm 3.47-3.88, 3 Y 3.57-3.85, 1 Sm 3.59
3 Pm 0.4920 0.7794 0.5504  7 Pm 3.47-3.71, 3 Y 3.58-3.86, 2 Sm 3.86-3.88
4 Pm 0.4948 0.0375 0.2909  4 Pm 3.28-3.58, 2 Y 3.57-3.67
5 Pm 0.4966 0.3723 0.6257  4 Pm 3.28-3.58, 1 Y 3.57
6 Pm 0.4981 0.1140 0.8849  9 Pm 3.47-3.88, 3 Y 3.58-3.86
7 Pm 0.9910 0.6657 0.6651  3 Pm 3.28-3.59, 2 Y 3.32-3.67, 1 Sm 3.47
8 Pm 0.9954 0.3317 0.3330  7 Pm 3.30-3.69, 3 Y 3.49-3.69, 1 Sm 3.69
9 Sm 0.9920 0.9223 0.4043  9 Pm 3.47-3.88, 3 Y 3.57-3.84
10 Y 0.4960 0.4476 0.2177  3 Y 3.48-3.87, 9 Pm 3.58-3.85, 1 Sm 3.84
11 Y 0.4959 0.7057 0.9580  7 Pm 3.32-3.69, 3 Y 3.48-3.69, 1 Sm 3.66
12 Y 0.9958 0.5915 0.0726  8 Pm 3.49-3.86, 1 Sm 3.57, 4 Y 3.68-3.87

## Properties
The density of states at the Fermi level comes out at 19.54 states/eV/cell. Its total energy is -5.131 eV/atom. The space group is P1, No. 1. The calculated formation energy comes out at 0.05 eV per atom. The crystal system is triclinic.

---

Entry 5:
This record from the Alexandria database describes an optimized crystal structure of Pm2Sm9Y. The functional is GGA-PBE.

Unit cell a=5.1291 b=5.1291 c=15.3821 alpha=90.00 beta=90.00 gamma=90.00
Last column: nearest neighbours and their distance in Å.
Fractional positions:
1 Pm 0.0000 0.0000 0.1674  12 Sm 3.63
2 Pm 0.0000 0.0000 0.8326  12 Sm 3.63
3 Sm 0.0000 0.5000 0.0000  8 Sm 3.63, 4 Pm 3.63
4 Sm 0.0000 0.5000 0.3341  8 Sm 3.62-3.63, 2 Y 3.62, 2 Pm 3.63
5 Sm 0.0000 0.5000 0.6659  8 Sm 3.62-3.63, 2 Y 3.62, 2 Pm 3.63
6 Sm 0.5000 0.0000 0.0000  8 Sm 3.63, 4 Pm 3.63
7 Sm 0.5000 0.0000 0.3341  8 Sm 3.62-3.63, 2 Y 3.62, 2 Pm 3.63
8 Sm 0.5000 0.0000 0.6659  8 Sm 3.62-3.63, 2 Y 3.62, 2 Pm 3.63
9 Sm 0.5000 0.5000 0.1672  4 Pm 3.63, 8 Sm 3.63
10 Sm 0.5000 0.5000 0.5000  8 Sm 3.62, 4 Y 3.63
11 Sm 0.5000 0.5000 0.8328  4 Pm 3.63, 8 Sm 3.63
12 Y 0.0000 0.0000 0.5000  12 Sm 3.62-3.63

## Properties
The density of states at the Fermi level comes out at 19.82 states/eV/cell. Its total energy is -4.853 eV/atom. The space group is P4/mmm, No. 123. The calculated formation energy comes out at 0.02 eV per atom. The crystal system is tetragonal.

---

Entry 6:
This record from the Alexandria database describes an optimized crystal structure of PmSmYZr. The functional is GGA-PBE.

Unit cell a=5.5511 b=5.5511 c=5.5511 alpha=60.00 beta=60.00 gamma=60.00
Last column: nearest neighbours and their distance in Å.
Fractional positions:
1 Pm 0.0000 0.0000 0.0000  4 Zr 3.40, 4 Y 3.40
2 Sm 0.5000 0.5000 0.5000  4 Zr 3.40, 4 Y 3.40
3 Y 0.2500 0.2500 0.2500  4 Pm 3.40, 4 Sm 3.40
4 Zr 0.7500 0.7500 0.7500  4 Pm 3.40, 4 Sm 3.40

## Properties
The density of states at the Fermi level comes out at 6.50 states/eV/cell. Its total energy is -5.901 eV/atom. The space group is F-43m, No. 216. The calculated formation energy comes out at 0.22 eV per atom. The crystal system is cubic.

---

What did the fourth record say?
This record from the Alexandria database describes an optimized crystal structure of Pm8SmY3. The functional is GGA-PBE.

Unit cell a=6.6983 b=8.5822 c=8.5960 alpha=102.74 beta=109.54 gamma=109.47
Last column: nearest neighbours and their distance in Å.
Fractional positions:
1 Pm 0.0000 0.0000 0.0000  4 Pm 3.28-3.58, 2 Y 3.32-3.67
2 Pm 0.9999 0.2591 0.7414  8 Pm 3.47-3.88, 3 Y 3.57-3.85, 1 Sm 3.59
3 Pm 0.4920 0.7794 0.5504  7 Pm 3.47-3.71, 3 Y 3.58-3.86, 2 Sm 3.86-3.88
4 Pm 0.4948 0.0375 0.2909  4 Pm 3.28-3.58, 2 Y 3.57-3.67
5 Pm 0.4966 0.3723 0.6257  4 Pm 3.28-3.58, 1 Y 3.57
6 Pm 0.4981 0.1140 0.8849  9 Pm 3.47-3.88, 3 Y 3.58-3.86
7 Pm 0.9910 0.6657 0.6651  3 Pm 3.28-3.59, 2 Y 3.32-3.67, 1 Sm 3.47
8 Pm 0.9954 0.3317 0.3330  7 Pm 3.30-3.69, 3 Y 3.49-3.69, 1 Sm 3.69
9 Sm 0.9920 0.9223 0.4043  9 Pm 3.47-3.88, 3 Y 3.57-3.84
10 Y 0.4960 0.4476 0.2177  3 Y 3.48-3.87, 9 Pm 3.58-3.85, 1 Sm 3.84
11 Y 0.4959 0.7057 0.9580  7 Pm 3.32-3.69, 3 Y 3.48-3.69, 1 Sm 3.66
12 Y 0.9958 0.5915 0.0726  8 Pm 3.49-3.86, 1 Sm 3.57, 4 Y 3.68-3.87

## Properties
The density of states at the Fermi level comes out at 19.54 states/eV/cell. Its total energy is -5.131 eV/atom. The space group is P1, No. 1. The calculated formation energy comes out at 0.05 eV per atom. The crystal system is triclinic.